Computed, not measured: a geometry-optimized LiAcCrO4 structure at the PBE with a Hubbard U level of DFT.

Final energy: -194.90 eV per cell

a = 6.2992 Å, b = 8.2402 Å, c = 8.8300 Å
α = 90.00°, β = 90.00°, γ = 90.00°
Last column: nearest neighbours and their distance in Å.
Space group Imma (No. 74)
Asymmetric unit:
Li1 0.0000 0.2500 0.0077 x4  2 O 1.78
Ac1 0.0000 0.0000 0.5000 x4  6 O 2.48-2.50
Cr1 0.2500 0.2500 0.2500 x4  6 O 1.93-2.03
O1 0.0000 0.0948 0.2334 x8  2 Cr 2.03
O2 0.2197 0.2500 0.4671 x8  1 Li 1.78, 1 Cr 1.93